VASP calculation (GGA+U) on a geometry-optimized PmCo2O4 structure.

Output
Theoretical density in g cm⁻³: 6.49
VASP energy in eV/cell: -189.01

```
data_PmCo2O4
_chemical_formula_sum 'Pm4 Co8 O16'
_space_group_name_H-M_alt 'I m m a'
_space_group_IT_number 74
_space_group_name_Hall '-I 2b 2'
_cell_length_a 6.9383
_cell_length_b 7.0892
_cell_length_c 6.7984
_cell_angle_alpha 90.00
_cell_angle_beta 90.00
_cell_angle_gamma 90.00
loop_
_atom_site_label
_atom_site_fract_x
_atom_site_fract_y
_atom_site_fract_z
_atom_site_occupancy
Pm1 0.0000 0.2500 0.1283 1
Co1 0.0000 0.0000 0.5000 1
Co2 0.2500 0.2500 0.7500 1
O1 0.0000 0.0690 0.7924 1
O2 0.1864 0.2500 0.4747 1
```



VASP calculation (GGA+U) on a geometry-optimized Pm2CoPtO6 structure.

Output
Theoretical density in g cm⁻³: 8.56
VASP energy in eV/cell: -143.39
D(E_F) in states/eV/atom: 0.000

```
data_Pm2CoPtO6
_chemical_formula_sum 'Pm4 Co2 Pt2 O12'
_space_group_name_H-M_alt 'P 1 21/c 1'
_space_group_IT_number 14
_space_group_name_Hall '-P 2ybc'
_cell_length_a 5.4313
_cell_length_b 5.8701
_cell_length_c 9.4911
_cell_angle_alpha 90.00
_cell_angle_beta 124.84
_cell_angle_gamma 90.00
loop_
_atom_site_label
_atom_site_fract_x
_atom_site_fract_y
_atom_site_fract_z
_atom_site_occupancy
Pm1 0.2274 0.0726 0.2499 1
Co1 0.5000 0.0000 0.0000 1
Pt1 0.0000 0.0000 0.5000 1
O1 0.1293 0.2008 0.9440 1
O2 0.2561 0.6925 0.9468 1
O3 0.3602 0.0386 0.7504 1
```



VASP calculation (GGA+U) on a geometry-optimized Pm2PuCoO8 structure.

Output
Theoretical density in g cm⁻³: 7.02
VASP energy in eV/cell: -97.93

```
data_Pm2PuCoO8
_chemical_formula_sum 'Pm2 Pu1 Co1 O8'
_space_group_name_H-M_alt 'P -1'
_space_group_IT_number 2
_space_group_name_Hall '-P 1'
_cell_length_a 4.6080
_cell_length_b 5.1758
_cell_length_c 7.2699
_cell_angle_alpha 82.63
_cell_angle_beta 86.93
_cell_angle_gamma 83.21
loop_
_atom_site_label
_atom_site_fract_x
_atom_site_fract_y
_atom_site_fract_z
_atom_site_occupancy
Pm1 0.1022 0.0188 0.2343 1
Pu1 0.5000 0.5000 0.5000 1
Co1 0.5000 0.5000 0.0000 1
O1 0.1399 0.7349 0.5260 1
O2 0.2254 0.7887 0.9847 1
O3 0.3530 0.3845 0.2394 1
O4 0.3697 0.2117 0.6656 1
```



Among the records above, which one has the highest VASP energy? Pm2PuCoO8



Which of these has the highest VASP energy? Pm2PuCoO8



VASP energy of number 3 (Pm2PuCoO8)? -97.93 eV/cell



Repeat the third record exactly.
VASP calculation (GGA+U) on a geometry-optimized Pm2PuCoO8 structure.

Output
Theoretical density in g cm⁻³: 7.02
VASP energy in eV/cell: -97.93

```
data_Pm2PuCoO8
_chemical_formula_sum 'Pm2 Pu1 Co1 O8'
_space_group_name_H-M_alt 'P -1'
_space_group_IT_number 2
_space_group_name_Hall '-P 1'
_cell_length_a 4.6080
_cell_length_b 5.1758
_cell_length_c 7.2699
_cell_angle_alpha 82.63
_cell_angle_beta 86.93
_cell_angle_gamma 83.21
loop_
_atom_site_label
_atom_site_fract_x
_atom_site_fract_y
_atom_site_fract_z
_atom_site_occupancy
Pm1 0.1022 0.0188 0.2343 1
Pu1 0.5000 0.5000 0.5000 1
Co1 0.5000 0.5000 0.0000 1
O1 0.1399 0.7349 0.5260 1
O2 0.2254 0.7887 0.9847 1
O3 0.3530 0.3845 0.2394 1
O4 0.3697 0.2117 0.6656 1
```